PmPd6Au2: relaxed, PBE.

## Properties
The distance to the lowest polymorph of the same formula comes out at 0.000 eV per atom. As for the energy of formation: -396 meV per atom. As for the volume: 17.30 A^3/atom.

a = 8.579 Å, b = 8.579 Å, c = 4.232 Å
α = 90.00°, β = 90.00°, γ = 90.00°
Space group P4_2/mnm (No. 136)
Asymmetric unit:
Pm  0.000  0.000  0.000 (multiplicity 2)
Pd  0.006  0.338  0.000 (multiplicity 8)
Pd  0.166  0.834  0.500 (multiplicity 4)
Au  0.179  0.179  0.500 (multiplicity 4)